VASP calculation (PBE+U) on a geometry-optimized Al2CrBi3O9 structure.

The final energy comes out at -98.49 eV per cell.

abc: 5.4092 5.4092 6.6394
angles: 90.00 90.00 120.00
Closest atoms and distances in Å follow each position.
Atoms (fractional coordinates):
1 Al 0.3333 0.6667 0.1616  6 O 1.88-1.89
2 Al 0.6667 0.3333 0.8384  6 O 1.88-1.89
3 Cr 0.0000 0.0000 0.5000  6 O 1.96
4 Bi 0.3333 0.6667 0.6678  12 O 2.70-2.73
5 Bi 0.0000 0.0000 0.0000  12 O 2.70
6 Bi 0.6667 0.3333 0.3322  12 O 2.70-2.73
7 O 0.8298 0.1702 0.6727  1 Al 1.88, 1 Cr 1.96
8 O 0.8298 0.6597 0.6727  1 Al 1.88, 1 Cr 1.96
9 O 0.3403 0.1702 0.6727  1 Al 1.88, 1 Cr 1.96
10 O 0.6597 0.8298 0.3273  1 Al 1.88, 1 Cr 1.96
11 O 0.1702 0.3403 0.3273  1 Al 1.88, 1 Cr 1.96
12 O 0.1702 0.8298 0.3273  1 Al 1.88, 1 Cr 1.96
13 O 0.5000 0.0000 0.0000  2 Al 1.89
14 O 0.0000 0.5000 0.0000  2 Al 1.89
15 O 0.5000 0.5000 0.0000  2 Al 1.89